Record 1
## ReHgAu (GGA-PBEsol)

Data for crystalline ReHgAu at its relaxed geometry.

Unit cell a=2.697 b=4.691 c=4.691 alpha=120.00 beta=90.00 gamma=90.00
Fractional positions:
Au  0.915  0.000  0.000
Hg  0.746  0.333  0.667
Re  0.339  0.667  0.333

- raw total energy (eV per atom) = -5.043
- energy of formation (eV/atom) = 0.90
- energy above the lowest structure with this stoichiometry (eV per formula unit) = 0.917

***

Record 2
## ZrAlAg (GGA-PBEsol)

Data for crystalline ZrAlAg at its relaxed geometry.

Unit cell a=3.035 b=3.035 c=6.148 alpha=104.29 beta=104.29 gamma=90.00
Fractional positions:
Ag  0.985  0.985  0.970
Zr  0.673  0.673  0.347
Al  0.342  0.342  0.683

- raw total energy (eV per atom) = -5.802
- energy of formation (eV/atom) = -0.30